## FeMoRu2 (PBE)

Data for a relaxed FeMoRu2 crystal.

```
data_FeMoRu2
_chemical_formula_sum 'Fe2 Mo2 Ru4'
_cell_length_a 8.793
_cell_length_b 2.710
_cell_length_c 4.722
_cell_angle_alpha 90.00
_cell_angle_beta 99.48
_cell_angle_gamma 90.00
_symmetry_space_group_name_H-M 'C 1 2/m 1'
_symmetry_Int_Tables_number 12
loop_
_symmetry_equiv_pos_as_xyz
'x,y,z'
'-x,-y,-z'
'-x,y,-z'
'x,-y,z'
'x+1/2,y+1/2,z'
'-x+1/2,-y+1/2,-z'
'-x+1/2,y+1/2,-z'
'x+1/2,-y+1/2,z'
loop_
_atom_site_label
_atom_site_type_symbol
_atom_site_fract_x
_atom_site_fract_y
_atom_site_fract_z
_atom_site_occupancy
Fe1 Fe 0.000 0.000 0.000 1
Mo1 Mo 0.000 0.500 0.500 1
Ru1 Ru 0.245 0.500 0.232 1
```

Values from the calculation:
The relative energy among the computed polymorphs is 67 meV per atom.

=====

## BaYTe (PBE)

Data for a relaxed BaYTe crystal.

```
data_BaYTe
_chemical_formula_sum 'Ba4 Y4 Te4'
_cell_length_a 8.076
_cell_length_b 8.076
_cell_length_c 8.076
_cell_angle_alpha 90.00
_cell_angle_beta 90.00
_cell_angle_gamma 90.00
_symmetry_space_group_name_H-M 'F -4 3 m'
_symmetry_Int_Tables_number 216
_symmetry_space_group_name_Hall 'F -4 2 3'
loop_
_atom_site_label
_atom_site_type_symbol
_atom_site_fract_x
_atom_site_fract_y
_atom_site_fract_z
_atom_site_occupancy
Ba1 Ba 0.000 0.000 0.000 1
Y1 Y 0.250 0.250 0.750 1
Te1 Te 0.250 0.250 0.250 1
```

Values from the calculation:
For the raw formation energy, the calculation gives 155 meV per atom. The relative energy among the computed polymorphs is 947 meV per atom.

=====

## NdTmCdGe (PBE)

Data for a relaxed NdTmCdGe crystal.

```
data_NdTmCdGe
_chemical_formula_sum 'Nd4 Tm4 Cd4 Ge4'
_cell_length_a 7.352
_cell_length_b 7.352
_cell_length_c 7.352
_cell_angle_alpha 90.00
_cell_angle_beta 90.00
_cell_angle_gamma 90.00
_symmetry_space_group_name_H-M 'F -4 3 m'
_symmetry_Int_Tables_number 216
_symmetry_space_group_name_Hall 'F -4 2 3'
loop_
_atom_site_label
_atom_site_type_symbol
_atom_site_fract_x
_atom_site_fract_y
_atom_site_fract_z
_atom_site_occupancy
Nd1 Nd 0.000 0.000 0.000 1
Tm1 Tm 0.000 0.000 0.500 1
Cd1 Cd 0.250 0.250 0.750 1
Ge1 Ge 0.250 0.250 0.250 1
```

Values from the calculation:
The calculation puts the raw total energy at -4.148 eV/atom.

=====

## CaPd2Cl (PBE)

Data for a relaxed CaPd2Cl crystal.

```
data_CaPd2Cl
_chemical_formula_sum 'Ca4 Pd8 Cl4'
_cell_length_a 3.847
_cell_length_b 3.847
_cell_length_c 22.400
_cell_angle_alpha 90.00
_cell_angle_beta 90.00
_cell_angle_gamma 90.00
_symmetry_space_group_name_H-M 'I -4 2 d'
_symmetry_Int_Tables_number 122
_symmetry_space_group_name_Hall 'I -4 2bw'
loop_
_atom_site_label
_atom_site_type_symbol
_atom_site_fract_x
_atom_site_fract_y
_atom_site_fract_z
_atom_site_occupancy
Ca1 Ca 0.000 0.000 0.000 1
Pd1 Pd 0.244 0.250 0.125 1
Cl1 Cl 0.000 0.000 0.500 1
```

Values from the calculation:
For the raw formation energy, the calculation gives -647 meV per atom. The relative energy among the computed polymorphs is 0 meV per atom.

=====

## Pr2Er3ThSe6 (PBE)

Data for a relaxed Pr2Er3ThSe6 crystal.

```
data_Pr2Er3ThSe6
_chemical_formula_sum 'Pr4 Er6 Th2 Se12'
_cell_length_a 18.330
_cell_length_b 4.065
_cell_length_c 8.451
_cell_angle_alpha 90.00
_cell_angle_beta 106.58
_cell_angle_gamma 90.00
_symmetry_space_group_name_H-M 'C 1 2/m 1'
_symmetry_Int_Tables_number 12
loop_
_symmetry_equiv_pos_as_xyz
'x,y,z'
'-x,-y,-z'
'-x,y,-z'
'x,-y,z'
'x+1/2,y+1/2,z'
'-x+1/2,-y+1/2,-z'
'-x+1/2,y+1/2,-z'
'x+1/2,-y+1/2,z'
loop_
_atom_site_label
_atom_site_type_symbol
_atom_site_fract_x
_atom_site_fract_y
_atom_site_fract_z
_atom_site_occupancy
Pr1 Pr 0.163 0.000 0.326 1
Er1 Er 0.000 0.500 0.500 1
Er2 Er 0.167 0.000 0.833 1
Th1 Th 0.000 0.500 0.000 1
Se1 Se 0.006 0.000 0.740 1
Se2 Se 0.163 0.500 0.594 1
Se3 Se 0.171 0.500 0.069 1
```

Values from the calculation:
For the raw formation energy, the calculation gives -1718 meV per atom.

=====

## Tb2TiCd (PBE)

Data for a relaxed Tb2TiCd crystal.

```
data_Tb2TiCd
_chemical_formula_sum 'Tb2 Ti1 Cd1'
_cell_length_a 5.125
_cell_length_b 5.125
_cell_length_c 3.905
_cell_angle_alpha 90.00
_cell_angle_beta 90.00
_cell_angle_gamma 90.00
_symmetry_space_group_name_H-M 'P 4/m m m'
_symmetry_Int_Tables_number 123
_symmetry_space_group_name_Hall '-P 4 2'
loop_
_atom_site_label
_atom_site_type_symbol
_atom_site_fract_x
_atom_site_fract_y
_atom_site_fract_z
_atom_site_occupancy
Tb1 Tb 0.000 0.500 0.000 1
Ti1 Ti 0.000 0.000 0.500 1
Cd1 Cd 0.500 0.500 0.500 1
```

Values from the calculation:
The relative energy among the computed polymorphs is 54 meV per atom.

=====

## Cr2HgBr (PBE)

Data for a relaxed Cr2HgBr crystal.

```
data_Cr2HgBr
_chemical_formula_sum 'Cr4 Hg2 Br2'
_cell_length_a 6.644
_cell_length_b 8.551
_cell_length_c 3.374
_cell_angle_alpha 90.00
_cell_angle_beta 114.07
_cell_angle_gamma 90.00
_symmetry_space_group_name_H-M 'C 1 2/m 1'
_symmetry_Int_Tables_number 12
loop_
_symmetry_equiv_pos_as_xyz
'x,y,z'
'-x,-y,-z'
'-x,y,-z'
'x,-y,z'
'x+1/2,y+1/2,z'
'-x+1/2,-y+1/2,-z'
'-x+1/2,y+1/2,-z'
'x+1/2,-y+1/2,z'
loop_
_atom_site_label
_atom_site_type_symbol
_atom_site_fract_x
_atom_site_fract_y
_atom_site_fract_z
_atom_site_occupancy
Cr1 Cr 0.250 0.250 0.000 1
Hg1 Hg 0.000 0.000 0.500 1
Br1 Br 0.000 0.500 0.500 1
```

Values from the calculation:
For the raw formation energy, the calculation gives 600 meV per atom. The relative energy among the computed polymorphs is 338 meV per atom.

=====

## InFe2Sb2 (PBE)

Data for a relaxed InFe2Sb2 crystal.

```
data_InFe2Sb2
_chemical_formula_sum 'In2 Fe4 Sb4'
_cell_length_a 4.431
_cell_length_b 4.431
_cell_length_c 10.090
_cell_angle_alpha 90.00
_cell_angle_beta 90.00
_cell_angle_gamma 90.00
_symmetry_space_group_name_H-M 'I 4/m m m'
_symmetry_Int_Tables_number 139
_symmetry_space_group_name_Hall '-I 4 2'
loop_
_atom_site_label
_atom_site_type_symbol
_atom_site_fract_x
_atom_site_fract_y
_atom_site_fract_z
_atom_site_occupancy
In1 In 0.000 0.000 0.000 1
Fe1 Fe 0.000 0.000 0.391 1
Sb1 Sb 0.000 0.500 0.250 1
```

Values from the calculation:
For the raw formation energy, the calculation gives 499 meV per atom. The relative energy among the computed polymorphs is 139 meV per atom.

=====

Number 1: density of states at the Fermi level 4.33 states/eV/f.u., mass density 10.6 g cm⁻³, magnetic moment 3.49 μB/cell. Number 2: density of states at the Fermi level 4.77 states/eV/f.u., mass density 4.5 g cm⁻³, magnetic moment 5.12 μB/cell. Number 3: density of states at the Fermi level 2.94 states/eV/f.u., mass density 8.3 g cm⁻³, magnetic moment 0.00 μB/cell. Number 4: density of states at the Fermi level 3.91 states/eV/f.u., mass density 5.8 g cm⁻³, magnetic moment 0.00 μB/cell. Number 5: density of states at the Fermi level 6.45 states/eV/f.u., mass density 8.2 g cm⁻³, magnetic moment 0.00 μB/cell. Number 6: density of states at the Fermi level 5.69 states/eV/f.u., mass density 7.7 g cm⁻³, magnetic moment 2.66 μB/cell. Number 7: density of states at the Fermi level 2.42 states/eV/f.u., mass density 7.3 g cm⁻³, magnetic moment 17.75 μB/cell. Number 8: density of states at the Fermi level 5.64 states/eV/f.u., mass density 7.9 g cm⁻³, magnetic moment 0.00 μB/cell.